Record 1
Entry from Alexandria: a relaxed AlGaSb3 crystal (GGA-PBE).

Lattice parameters (Å, degrees): 5.3238 5.3238 5.3238 90.00 90.00 90.00
Last column: nearest neighbours and their distance in Å.
Space group Pm-3m (No. 221)
One atom of each set of equivalent atoms:
1 Al 0.0000 0.0000 0.0000  6 Sb 2.66
2 Ga 0.5000 0.5000 0.5000  12 Sb 3.76
3 Sb 0.0000 0.0000 0.5000  2 Al 2.66

* DOS at the Fermi energy: 1.025 states/eV per atom
* E above lowest polymorph: 0.000 eV/atom
* calculated density: 5.1 g/cm³
* crystal system: cubic
* formation energy (no corrections): 2.46 eV/f.u.

=====

Record 2
Entry from Alexandria: a relaxed TaTiS2N crystal (GGA-PBE).

Lattice parameters (Å, degrees): 4.7190 4.7190 3.6669 90.00 90.00 90.00
Last column: nearest neighbours and their distance in Å.
Space group P4/mmm (No. 123)
One atom of each set of equivalent atoms:
1 Ta 0.0000 0.0000 0.0000  8 S 2.99, 4 N 3.34
2 Ti 0.5000 0.5000 0.5000  2 N 1.83
3 S 0.0000 0.5000 0.5000  2 Ti 2.36
4 N 0.5000 0.5000 0.0000  2 Ti 1.83

* DOS at the Fermi energy: 0.906 states/eV per atom
* E above lowest polymorph: 0.365 eV/atom
* calculated density: 6.2 g/cm³
* crystal system: tetragonal
* formation energy (no corrections): 0.70 eV/f.u.

=====

Record 3
Entry from Alexandria: a relaxed As2WSe crystal (GGA-PBE).

Lattice parameters (Å, degrees): 5.9974 5.9974 11.4128 90.00 90.00 90.00
Last column: nearest neighbours and their distance in Å.
Space group I-42d (No. 122)
One atom of each set of equivalent atoms:
1 As 0.2079 0.2500 0.1250  2 W 2.42
2 W 0.0000 0.0000 0.0000  4 As 2.42
3 Se 0.0000 0.0000 0.5000  4 As 2.71

* DOS at the Fermi energy: 0.623 states/eV per atom
* calculated density: 6.7 g/cm³
* crystal system: tetragonal
* formation energy (no corrections): 2.42 eV/f.u.

=====

Record 4
Entry from Alexandria: a relaxed NaBePd2 crystal (GGA-PBE).

Lattice parameters (Å, degrees): 2.8336 2.8336 7.4237 90.00 90.00 90.00
Last column: nearest neighbours and their distance in Å.
Space group P4/mmm (No. 123)
One atom of each set of equivalent atoms:
1 Na 0.0000 0.0000 0.0000  4 Na 2.83, 8 Pd 3.06
2 Be 0.0000 0.0000 0.5000  8 Pd 2.44
3 Pd 0.5000 0.5000 0.3121  4 Be 2.44

* DOS at the Fermi energy: 0.302 states/eV per atom
* calculated density: 6.8 g/cm³
* DFT formation energy: -0.35 eV per atom
* crystal system: tetragonal